[1]
# Pr3Se4 (SCAN, PBEsol geometry)
# **Volume**: 696 Å³ per cell
# **Formation energy from raw total energies**: -2107 meV/atom
# **Density of states at the Fermi level**: 16.68 states/eV per cell
# **Total magnetization**: 0.000 μB/atom
data_Pr3Se4
_chemical_formula_sum 'Pr12 Se16'
_space_group_name_H-M_alt 'I -4 3 d'
_space_group_IT_number 220
_space_group_name_Hall 'I -4bd 2c 3'
_cell_length_a 8.861
_cell_length_b 8.861
_cell_length_c 8.861
_cell_angle_alpha 90.00
_cell_angle_beta 90.00
_cell_angle_gamma 90.00
loop_
_atom_site_label
_atom_site_type_symbol
_atom_site_fract_x
_atom_site_fract_y
_atom_site_fract_z
Pr1 Pr 0.000 0.250 0.375
Se1 Se 0.076 0.076 0.076

=====

[2]
# Pr10Se19 (SCAN, PBEsol geometry)
# **Volume**: 1445 Å³ per cell
# **Formation energy from raw total energies**: -1931 meV/atom
# **Density of states at the Fermi level**: 0.36 states/eV per cell
# **Total magnetization**: 0.000 μB/atom
data_Pr10Se19
_chemical_formula_sum 'Pr20 Se38'
_space_group_name_H-M_alt 'P 42/n'
_space_group_IT_number 86
_cell_length_a 9.245
_cell_length_b 9.245
_cell_length_c 16.904
_cell_angle_alpha 90.00
_cell_angle_beta 90.00
_cell_angle_gamma 90.00
loop_
_space_group_symop_operation_xyz
'x,y,z'
'-x,-y,-z'
'-y,x+1/2,z+1/2'
'y,-x+1/2,-z+1/2'
'-x+1/2,-y+1/2,z'
'x+1/2,y+1/2,-z'
'y+1/2,-x,z+1/2'
'-y+1/2,x,-z+1/2'
loop_
_atom_site_label
_atom_site_type_symbol
_atom_site_fract_x
_atom_site_fract_y
_atom_site_fract_z
Pr1 Pr 0.044 0.347 0.120
Pr2 Pr 0.054 0.352 0.606
Pr3 Pr 0.250 0.750 0.117
Se1 Se 0.030 0.829 0.250
Se2 Se 0.049 0.347 0.429
Se3 Se 0.052 0.351 0.936
Se4 Se 0.065 0.881 0.751
Se5 Se 0.250 0.250 0.250
Se6 Se 0.250 0.750 0.436

=====

[3]
# SrPr2Se4 (SCAN, PBEsol geometry)
# **Volume**: 718 Å³ per cell
# **Formation energy from raw total energies**: -2213 meV/atom
# **Density of states at the Fermi level**: 0.00 states/eV per cell
# **Total magnetization**: 0.000 μB/atom
data_SrPr2Se4
_chemical_formula_sum 'Sr4 Pr8 Se16'
_space_group_name_H-M_alt 'I -4 2 d'
_space_group_IT_number 122
_space_group_name_Hall 'I -4 2bw'
_cell_length_a 8.955
_cell_length_b 8.955
_cell_length_c 8.953
_cell_angle_alpha 90.00
_cell_angle_beta 90.00
_cell_angle_gamma 90.00
loop_
_atom_site_label
_atom_site_type_symbol
_atom_site_fract_x
_atom_site_fract_y
_atom_site_fract_z
Sr1 Sr 0.000 0.000 0.000
Pr1 Pr 0.127 0.750 0.625
Se1 Se 0.078 0.672 0.946

=====

[4]
# Pr2ZrSe5 (SCAN, PBEsol geometry)
# **Volume**: 762 Å³ per cell
# **Formation energy from raw total energies**: -1945 meV/atom
# **Total magnetization**: 0.000 μB/atom
data_Pr2ZrSe5
_chemical_formula_sum 'Pr8 Zr4 Se20'
_space_group_name_H-M_alt 'P n m a'
_space_group_IT_number 62
_space_group_name_Hall '-P 2ac 2n'
_cell_length_a 11.938
_cell_length_b 8.352
_cell_length_c 7.640
_cell_angle_alpha 90.00
_cell_angle_beta 90.00
_cell_angle_gamma 90.00
loop_
_atom_site_label
_atom_site_type_symbol
_atom_site_fract_x
_atom_site_fract_y
_atom_site_fract_z
Pr1 Pr 0.175 0.003 0.045
Zr1 Zr 0.010 0.750 0.579
Se1 Se 0.005 0.750 0.947
Se2 Se 0.081 0.039 0.672
Se3 Se 0.187 0.750 0.346
Se4 Se 0.209 0.250 0.329

=====

[5]
# Pr3Si2 (SCAN, PBEsol geometry)
# **Volume**: 258 Å³ per cell
# **Formation energy from raw total energies**: -658 meV/atom
# **Density of states at the Fermi level**: 9.71 states/eV per cell
# **Total magnetization**: 0.001 μB/atom
data_Pr3Si2
_chemical_formula_sum 'Pr6 Si4'
_space_group_name_H-M_alt 'P 4/m b m'
_space_group_IT_number 127
_space_group_name_Hall '-P 4 2ab'
_cell_length_a 7.776
_cell_length_b 7.776
_cell_length_c 4.270
_cell_angle_alpha 90.00
_cell_angle_beta 90.00
_cell_angle_gamma 90.00
loop_
_atom_site_label
_atom_site_type_symbol
_atom_site_fract_x
_atom_site_fract_y
_atom_site_fract_z
Pr1 Pr 0.000 0.000 0.000
Pr2 Pr 0.178 0.322 0.500
Si1 Si 0.110 0.610 0.000

=====

[6]
# Pr2Si3 (SCAN, PBEsol geometry)
# **Volume**: 232 Å³ per cell
# **Formation energy from raw total energies**: -632 meV/atom
# **Density of states at the Fermi level**: 2.47 states/eV per cell
# **Total magnetization**: 0.000 μB/atom
data_Pr2Si3
_chemical_formula_sum 'Pr4 Si6'
_space_group_name_H-M_alt 'I m m 2'
_space_group_IT_number 44
_space_group_name_Hall 'I 2 -2'
_cell_length_a 3.944
_cell_length_b 4.168
_cell_length_c 14.132
_cell_angle_alpha 90.00
_cell_angle_beta 90.00
_cell_angle_gamma 90.00
loop_
_atom_site_label
_atom_site_type_symbol
_atom_site_fract_x
_atom_site_fract_y
_atom_site_fract_z
Pr1 Pr 0.000 0.000 0.000
Pr2 Pr 0.000 0.500 0.253
Si1 Si 0.000 0.000 0.424
Si2 Si 0.000 0.500 0.663
Si3 Si 0.000 0.500 0.829

=====

[7]
# Pr5Si4 (SCAN, PBEsol geometry)
# **Volume**: 930 Å³ per cell
# **Formation energy from raw total energies**: -717 meV/atom
# **Density of states at the Fermi level**: 31.51 states/eV per cell
# **Total magnetization**: 0.000 μB/atom
data_Pr5Si4
_chemical_formula_sum 'Pr20 Si16'
_space_group_name_H-M_alt 'P 41 21 2'
_space_group_IT_number 92
_space_group_name_Hall 'P 4abw 2nw'
_cell_length_a 7.860
_cell_length_b 7.860
_cell_length_c 15.051
_cell_angle_alpha 90.00
_cell_angle_beta 90.00
_cell_angle_gamma 90.00
loop_
_atom_site_label
_atom_site_type_symbol
_atom_site_fract_x
_atom_site_fract_y
_atom_site_fract_z
Pr1 Pr 0.011 0.376 0.051
Pr2 Pr 0.018 0.873 0.124
Pr3 Pr 0.191 0.809 0.750
Si1 Si 0.077 0.711 0.940
Si2 Si 0.168 0.197 0.799

=====

[8]
# PrSi (SCAN, PBEsol geometry)
# **Volume**: 191 Å³ per cell
# **Formation energy from raw total energies**: -782 meV/atom
# **Density of states at the Fermi level**: 5.41 states/eV per cell
# **Total magnetization**: 0.000 μB/atom
data_PrSi
_chemical_formula_sum 'Pr4 Si4'
_space_group_name_H-M_alt 'P n m a'
_space_group_IT_number 62
_space_group_name_Hall '-P 2ac 2n'
_cell_length_a 8.229
_cell_length_b 3.923
_cell_length_c 5.911
_cell_angle_alpha 90.00
_cell_angle_beta 90.00
_cell_angle_gamma 90.00
loop_
_atom_site_label
_atom_site_type_symbol
_atom_site_fract_x
_atom_site_fract_y
_atom_site_fract_z
Pr1 Pr 0.179 0.250 0.113
Si1 Si 0.035 0.250 0.621

=====

[9]
# PrSm3 (SCAN, PBEsol geometry)
# **Volume**: 128 Å³ per cell
# **Density of states at the Fermi level**: 5.24 states/eV per cell
# **Uncorrected energy**: -44.151 eV per atom
# **Total magnetization**: 0.001 μB/atom
data_PrSm3
_chemical_formula_sum 'Pr1 Sm3'
_space_group_name_H-M_alt 'P m -3 m'
_space_group_IT_number 221
_space_group_name_Hall '-P 4 2 3'
_cell_length_a 5.043
_cell_length_b 5.043
_cell_length_c 5.043
_cell_angle_alpha 90.00
_cell_angle_beta 90.00
_cell_angle_gamma 90.00
loop_
_atom_site_label
_atom_site_type_symbol
_atom_site_fract_x
_atom_site_fract_y
_atom_site_fract_z
Pr1 Pr 0.000 0.000 0.000
Sm1 Sm 0.000 0.500 0.500

=====

[10]
# PrSm3 (SCAN, PBEsol geometry)
# **Volume**: 258 Å³ per cell
# **Density of states at the Fermi level**: 12.57 states/eV per cell
# **Uncorrected energy**: -44.135 eV per atom
# **Total magnetization**: 0.000 μB/atom
data_PrSm3
_chemical_formula_sum 'Pr2 Sm6'
_space_group_name_H-M_alt 'P 63/m m c'
_space_group_IT_number 194
_space_group_name_Hall '-P 6c 2c'
_cell_length_a 7.1744
_cell_length_b 7.1744
_cell_length_c 5.7917
_cell_angle_alpha 90.00
_cell_angle_beta 90.00
_cell_angle_gamma 120.00
loop_
_atom_site_label
_atom_site_type_symbol
_atom_site_fract_x
_atom_site_fract_y
_atom_site_fract_z
Pr1 Pr 0.3333 0.6667 0.2500
Sm1 Sm 0.1664 0.3328 0.7500

=====

[11]
# PrSm3 (SCAN, PBEsol geometry)
# **Volume**: 513 Å³ per cell
# **Density of states at the Fermi level**: 21.69 states/eV per cell
# **Uncorrected energy**: -44.150 eV per atom
# **Total magnetization**: 0.000 μB/atom
data_PrSm3
_chemical_formula_sum 'Pr4 Sm12'
_space_group_name_H-M_alt 'F m m m'
_space_group_IT_number 69
_space_group_name_Hall '-F 2 2'
_cell_length_a 7.137
_cell_length_b 7.138
_cell_length_c 10.079
_cell_angle_alpha 90.00
_cell_angle_beta 90.00
_cell_angle_gamma 90.00
loop_
_atom_site_label
_atom_site_type_symbol
_atom_site_fract_x
_atom_site_fract_y
_atom_site_fract_z
Pr1 Pr 0.000 0.000 0.000
Sm1 Sm 0.000 0.000 0.500
Sm2 Sm 0.250 0.250 0.250

=====

[12]
# Pr3Sn (SCAN, PBEsol geometry)
# **Volume**: 117 Å³ per cell
# **Density of states at the Fermi level**: 4.51 states/eV per cell
# **Uncorrected energy**: -42.006 eV per atom
# **Total magnetization**: 0.000 μB/atom
data_Pr3Sn
_chemical_formula_sum 'Pr3 Sn1'
_space_group_name_H-M_alt 'P m -3 m'
_space_group_IT_number 221
_space_group_name_Hall '-P 4 2 3'
_cell_length_a 4.896
_cell_length_b 4.896
_cell_length_c 4.896
_cell_angle_alpha 90.00
_cell_angle_beta 90.00
_cell_angle_gamma 90.00
loop_
_atom_site_label
_atom_site_type_symbol
_atom_site_fract_x
_atom_site_fract_y
_atom_site_fract_z
Pr1 Pr 0.000 0.000 0.500
Sn1 Sn 0.500 0.500 0.500

=====

[13]
# Pr5Sn3 (SCAN, PBEsol geometry)
# **Volume**: 502 Å³ per cell
# **Density of states at the Fermi level**: 15.47 states/eV per cell
# **Uncorrected energy**: -41.354 eV per atom
# **Total magnetization**: 0.001 μB/atom
data_Pr5Sn3
_chemical_formula_sum 'Pr10 Sn6'
_space_group_name_H-M_alt 'P 63/m c m'
_space_group_IT_number 193
_space_group_name_Hall '-P 6c 2'
_cell_length_a 9.2631
_cell_length_b 9.2631
_cell_length_c 6.7560
_cell_angle_alpha 90.00
_cell_angle_beta 90.00
_cell_angle_gamma 120.00
loop_
_atom_site_label
_atom_site_type_symbol
_atom_site_fract_x
_atom_site_fract_y
_atom_site_fract_z
Pr1 Pr 0.0000 0.2435 0.2500
Pr2 Pr 0.3333 0.6667 0.0000
Sn1 Sn 0.0000 0.3933 0.7500

=====

[14]
# Pr5Sn3 (SCAN, PBEsol geometry)
# **Volume**: 955 Å³ per cell
# **Density of states at the Fermi level**: 32.17 states/eV per cell
# **Uncorrected energy**: -41.356 eV per atom
# **Total magnetization**: 0.251 μB/atom
data_Pr5Sn3
_chemical_formula_sum 'Pr20 Sn12'
_space_group_name_H-M_alt 'I 4/m c m'
_space_group_IT_number 140
_space_group_name_Hall '-I 4 2c'
_cell_length_a 12.472
_cell_length_b 12.472
_cell_length_c 6.137
_cell_angle_alpha 90.00
_cell_angle_beta 90.00
_cell_angle_gamma 90.00
loop_
_atom_site_label
_atom_site_type_symbol
_atom_site_fract_x
_atom_site_fract_y
_atom_site_fract_z
Pr1 Pr 0.000 0.500 0.250
Pr2 Pr 0.084 0.218 0.000
Sn1 Sn 0.000 0.000 0.250
Sn2 Sn 0.161 0.339 0.500

=====

[15]
# PrYSn6 (SCAN, PBEsol geometry)
# **Volume**: 204 Å³ per cell
# **Density of states at the Fermi level**: 4.18 states/eV per cell
# **Uncorrected energy**: -36.357 eV per atom
# **Total magnetization**: 0.000 μB/atom
data_PrYSn6
_chemical_formula_sum 'Pr1 Y1 Sn6'
_space_group_name_H-M_alt 'P 4/m m m'
_space_group_IT_number 123
_space_group_name_Hall '-P 4 2'
_cell_length_a 4.667
_cell_length_b 4.667
_cell_length_c 9.348
_cell_angle_alpha 90.00
_cell_angle_beta 90.00
_cell_angle_gamma 90.00
loop_
_atom_site_label
_atom_site_type_symbol
_atom_site_fract_x
_atom_site_fract_y
_atom_site_fract_z
Pr1 Pr 0.000 0.000 0.000
Y1 Y 0.000 0.000 0.500
Sn1 Sn 0.000 0.500 0.255
Sn2 Sn 0.500 0.500 0.000
Sn3 Sn 0.500 0.500 0.500

=====

[16]
# PrZnSn (SCAN, PBEsol geometry)
# **Volume**: 146 Å³ per cell
# **Density of states at the Fermi level**: 4.22 states/eV per cell
# **Uncorrected energy**: -31.652 eV per atom
# **Total magnetization**: 0.000 μB/atom
data_PrZnSn
_chemical_formula_sum 'Pr2 Zn2 Sn2'
_space_group_name_H-M_alt 'P 63/m m c'
_space_group_IT_number 194
_space_group_name_Hall '-P 6c 2c'
_cell_length_a 4.4607
_cell_length_b 4.4607
_cell_length_c 8.4507
_cell_angle_alpha 90.00
_cell_angle_beta 90.00
_cell_angle_gamma 120.00
loop_
_atom_site_label
_atom_site_type_symbol
_atom_site_fract_x
_atom_site_fract_y
_atom_site_fract_z
Pr1 Pr 0.0000 0.0000 0.0000
Zn1 Zn 0.3333 0.6667 0.2500
Sn1 Sn 0.3333 0.6667 0.7500

=====

[17]
# Pr2Zn5Sn (SCAN, PBEsol geometry)
# **Volume**: 647 Å³ per cell
# **Density of states at the Fermi level**: 13.33 states/eV per cell
# **Uncorrected energy**: -24.315 eV per atom
# **Total magnetization**: 0.000 μB/atom
data_Pr2Zn5Sn
_chemical_formula_sum 'Pr8 Zn20 Sn4'
_space_group_name_H-M_alt 'C m c m'
_space_group_IT_number 63
_space_group_name_Hall '-C 2c 2'
_cell_length_a 4.414
_cell_length_b 16.362
_cell_length_c 8.954
_cell_angle_alpha 90.00
_cell_angle_beta 90.00
_cell_angle_gamma 90.00
loop_
_atom_site_label
_atom_site_type_symbol
_atom_site_fract_x
_atom_site_fract_y
_atom_site_fract_z
Pr1 Pr 0.000 0.000 0.000
Pr2 Pr 0.000 0.206 0.250
Zn1 Zn 0.000 0.185 0.609
Zn2 Zn 0.000 0.343 0.516
Zn3 Zn 0.000 0.395 0.250
Sn1 Sn 0.000 0.444 0.750

=====

[18]
# SrPr3 (SCAN, PBEsol geometry)
# **Volume**: 146 Å³ per cell
# **Density of states at the Fermi level**: 5.68 states/eV per cell
# **Uncorrected energy**: -37.910 eV per atom
# **Total magnetization**: 0.004 μB/atom
data_SrPr3
_chemical_formula_sum 'Sr1 Pr3'
_space_group_name_H-M_alt 'P m -3 m'
_space_group_IT_number 221
_space_group_name_Hall '-P 4 2 3'
_cell_length_a 5.261
_cell_length_b 5.261
_cell_length_c 5.261
_cell_angle_alpha 90.00
_cell_angle_beta 90.00
_cell_angle_gamma 90.00
loop_
_atom_site_label
_atom_site_type_symbol
_atom_site_fract_x
_atom_site_fract_y
_atom_site_fract_z
Sr1 Sr 0.000 0.000 0.000
Pr1 Pr 0.000 0.500 0.500

=====

[19]
# Tb3Pr (SCAN, PBEsol geometry)
# **Volume**: 125 Å³ per cell
# **Density of states at the Fermi level**: 6.27 states/eV per cell
# **Uncorrected energy**: -45.878 eV per atom
# **Total magnetization**: 0.094 μB/atom
data_Tb3Pr
_chemical_formula_sum 'Tb3 Pr1'
_space_group_name_H-M_alt 'P -6 m 2'
_space_group_IT_number 187
_space_group_name_Hall 'P -6 2'
_cell_length_a 3.5652
_cell_length_b 3.5652
_cell_length_c 11.3638
_cell_angle_alpha 90.00
_cell_angle_beta 90.00
_cell_angle_gamma 120.00
loop_
_atom_site_label
_atom_site_type_symbol
_atom_site_fract_x
_atom_site_fract_y
_atom_site_fract_z
Tb1 Tb 0.0000 0.0000 0.0000
Tb2 Tb 0.3333 0.6667 0.2444
Pr1 Pr 0.0000 0.0000 0.5000